No. 1
A plane-wave DFT calculation with PBE was carried out for a relaxed Y6MgIn2 crystal.

Cell lengths 6.038, 9.107, 9.777 Å; angles 90.00, 84.04, 90.00 degrees
Sites, in units of the cell vectors:
1 Y 0.096 0.027 0.813
2 Y 0.089 0.338 0.434
3 Y 0.596 0.473 0.313
4 In 0.917 0.365 0.751
5 In 0.583 0.865 0.749
6 Y 0.954 0.676 0.932
7 In 0.083 0.635 0.249
8 Y 0.589 0.162 0.934
9 In 0.417 0.135 0.251
10 Y 0.904 0.973 0.187
11 Mg 0.000 0.000 0.500
12 Mg 0.500 0.500 0.000
13 Y 0.911 0.662 0.566
14 Y 0.454 0.824 0.432
15 Y 0.546 0.176 0.568
16 Y 0.411 0.838 0.066
17 Y 0.046 0.324 0.068
18 Y 0.404 0.527 0.687

Summary:
formation energy from the elements: -0.1545 eV/atom
DOS at the Fermi energy: 23.82 states/eV per cell
final energy: -47.25 eV/f.u.
calculated volume: 29.70 A^3/atom
calculated density: 4.89 Mg/m³

=====

No. 2
A plane-wave DFT calculation with PBE was carried out for a relaxed ReAg3 crystal.

Cell lengths 5.521, 5.521, 5.521 Å; angles 117.51, 117.51, 117.51 degrees
Sites, in units of the cell vectors:
1 Ag 0.000 0.000 0.000
2 Ag 0.000 0.500 0.500
3 Ag 0.500 0.500 0.000
4 Re 0.500 0.000 0.500

Summary:
formation energy from the elements: 0.6466 eV/atom
DOS at the Fermi energy: 3.80 states/eV per cell
final energy: -18.42 eV/f.u.
calculated volume: 16.98 A^3/atom
energy relative to the lowest polymorph listed for this composition: 0.259 eV per atom
calculated density: 12.47 Mg/m³

=====

No. 3
A plane-wave DFT calculation with PBE was carried out for a relaxed Li2CoNi crystal.

Cell lengths 5.026, 5.026, 5.026 Å; angles 150.78, 128.71, 60.13 degrees
Last column: magnetic moment on the atom in μB.
Sites, in units of the cell vectors:
1 Li 0.741 0.241 0.500  -0.04
2 Co 0.263 0.763 0.500  1.54
3 Ni 0.490 0.490 0.000  0.43
4 Li 0.005 0.005 0.000  -0.03

Summary:
formation energy from the elements: 0.1703 eV/atom
DOS at the Fermi energy: 2.46 states/eV per cell
final energy: -16.03 eV/f.u.
calculated volume: 12.00 A^3/atom
energy relative to the lowest polymorph listed for this composition: 0.144 eV per atom
calculated density: 4.55 Mg/m³

=====

No. 4
A plane-wave DFT calculation with PBE was carried out for a relaxed Ni5Ge2Pt2 crystal.

Cell lengths 5.626, 7.780, 7.779 Å; angles 159.28, 103.37, 76.62 degrees
Sites, in units of the cell vectors:
1 Pt 0.932 0.179 0.821
2 Ge 0.322 0.408 0.592
3 Ge 0.678 0.592 0.408
4 Ni 0.715 0.432 0.568
5 Ni 0.285 0.568 0.432
6 Ni 0.399 0.197 0.803
7 Ni 0.000 0.000 0.000
8 Ni 0.601 0.803 0.197
9 Pt 0.068 0.821 0.179

Summary:
formation energy from the elements: -0.1782 eV/atom
DOS at the Fermi energy: 8.85 states/eV per cell
final energy: -51.83 eV/f.u.
calculated volume: 13.01 A^3/atom
calculated density: 11.76 Mg/m³

=====

No. 5
A plane-wave DFT calculation with PBE was carried out for a relaxed Ca4ZrSc crystal.

Cell lengths 6.633, 6.633, 6.633 Å; angles 60.00, 60.00, 60.00 degrees
Last column: magnetic moment on the atom in μB.
Sites, in units of the cell vectors:
1 Ca 0.374 0.374 0.877  0.05
2 Ca 0.374 0.877 0.374  0.05
3 Ca 0.877 0.374 0.374  0.05
4 Sc 0.750 0.750 0.750  0.33
5 Ca 0.374 0.374 0.374  0.05
6 Zr 0.000 0.000 0.000  1.29

Summary:
formation energy from the elements: 0.6190 eV/atom
DOS at the Fermi energy: 6.97 states/eV per cell
final energy: -19.17 eV/f.u.
calculated volume: 34.39 A^3/atom
calculated density: 2.39 Mg/m³

=====

No. 6
A plane-wave DFT calculation with PBE was carried out for a relaxed Co3Ni2 crystal.

Cell lengths 4.746, 4.746, 6.402 Å; angles 81.03, 81.03, 125.39 degrees
Last column: magnetic moment on the atom in μB.
Sites, in units of the cell vectors:
1 Co 0.540 0.466 0.802  1.71
2 Ni 0.455 0.906 0.902  0.74
3 Ni 0.809 0.358 0.098  0.74
4 Co 0.268 0.342 0.198  1.71
5 Co 0.928 0.928 0.000  1.73
6 Co 0.092 0.518 0.698  1.71
7 Co 0.216 0.790 0.302  1.71
8 Ni 0.656 0.705 0.402  0.74
9 Co 0.678 0.178 0.500  1.73
10 Ni 0.108 0.059 0.598  0.74

Summary:
formation energy from the elements: 0.0755 eV/atom
DOS at the Fermi energy: 11.51 states/eV per cell
final energy: -32.50 eV/f.u.
calculated volume: 11.05 A^3/atom
energy relative to the lowest polymorph listed for this composition: 0.074 eV per atom
calculated density: 8.84 Mg/m³